TbPrTh2Sb4: optimized geometry, GGA-PBE.

a = 7.766 Å, b = 4.502 Å, c = 7.795 Å
α = 90.00°, β = 109.61°, γ = 90.00°
Fractional positions:
Tb 0.000 0.000 0.000
Pr 0.000 0.500 0.500
Th 0.500 0.000 0.500
Th 0.500 0.500 0.000
Sb 0.246 0.500 0.245
Sb 0.250 0.000 0.754
Sb 0.750 0.000 0.246
Sb 0.754 0.500 0.755

Calculated values
Crystal system ... monoclinic
Total DFT energy (no corrections) ... -49.091 eV/cell
Space-group type ... P2/m

HfBePd6: optimized geometry, GGA-PBE.

a = 5.158 Å, b = 5.158 Å, c = 5.158 Å
α = 100.81°, β = 100.81°, γ = 100.81°
Fractional positions:
Hf 0.000 0.000 0.000
Be 0.500 0.500 0.500
Pd 0.209 0.209 0.600
Pd 0.209 0.600 0.209
Pd 0.400 0.791 0.791
Pd 0.600 0.209 0.209
Pd 0.791 0.400 0.791
Pd 0.791 0.791 0.400

Calculated values
Crystal system ... trigonal
Space-group type ... R-3m
Energy of formation ... -0.261 eV/atom

BC3: optimized geometry, GGA-PBE.

a = 4.451 Å, b = 4.451 Å, c = 5.251 Å
α = 103.92°, β = 103.92°, γ = 47.73°
Fractional positions:
B 0.000 0.000 0.000
B 0.338 0.338 0.164
B 0.662 0.662 0.836
C 0.001 0.999 0.500
C 0.233 0.740 0.732
C 0.260 0.767 0.268
C 0.330 0.329 0.660
C 0.570 0.086 0.899
C 0.594 0.081 0.422
C 0.671 0.670 0.340
C 0.914 0.430 0.101
C 0.919 0.406 0.578

Calculated values
Crystal system ... monoclinic
Space-group type ... C2
Energy of formation ... 0.324 eV/atom

TlNiB2H: optimized geometry, GGA-PBE.

a = 4.402 Å, b = 4.402 Å, c = 5.066 Å
α = 90.00°, β = 90.00°, γ = 90.00°
Fractional positions:
Tl 0.000 0.000 0.000
Ni 0.000 0.000 0.500
B 0.000 0.500 0.000
B 0.500 0.000 0.000
H 0.500 0.500 0.500

Calculated values
Crystal system ... tetragonal
Total DFT energy (no corrections) ... -12.301 eV/cell
Space-group type ... P4/mmm

PuHgTeAu: optimized geometry, GGA-PBE.

a = 5.228 Å, b = 5.228 Å, c = 5.228 Å
α = 60.00°, β = 60.00°, γ = 60.00°
Fractional positions:
Pu 0.000 0.000 0.000
Hg 0.500 0.500 0.500
Te 0.250 0.250 0.250
Au 0.750 0.750 0.750

Calculated values
Crystal system ... cubic
Total DFT energy (no corrections) ... -22.568 eV/cell
Space-group type ... F-43m

BaPmMg4: optimized geometry, GGA-PBE.

a = 6.343 Å, b = 6.343 Å, c = 6.343 Å
α = 60.00°, β = 60.00°, γ = 60.00°
Fractional positions:
Ba 0.000 0.000 0.000
Pm 0.250 0.250 0.250
Mg 0.130 0.623 0.623
Mg 0.623 0.130 0.623
Mg 0.623 0.623 0.130
Mg 0.623 0.623 0.623

Calculated values
Crystal system ... cubic
Space-group type ... F-43m
Energy of formation ... -0.046 eV/atom

ZnAg2MoOs: optimized geometry, GGA-PBE.

a = 4.513 Å, b = 4.513 Å, c = 4.782 Å
α = 90.00°, β = 90.00°, γ = 90.00°
Fractional positions:
Zn 0.000 0.000 0.000
Ag 0.000 0.500 0.000
Ag 0.500 0.000 0.000
Mo 0.000 0.000 0.500
Os 0.500 0.500 0.500

Calculated values
Crystal system ... tetragonal
Space-group type ... P4/mmm
Energy of formation ... 1.747 eV/atom

AcZn2Pd2Pt: optimized geometry, GGA-PBE.

a = 4.764 Å, b = 4.764 Å, c = 5.736 Å
α = 90.00°, β = 90.00°, γ = 90.00°
Fractional positions:
Ac 0.000 0.000 0.000
Zn 0.000 0.500 0.500
Zn 0.500 0.000 0.500
Pd 0.500 0.500 0.246
Pd 0.500 0.500 0.754
Pt 0.000 0.000 0.500

Calculated values
Crystal system ... tetragonal
Space-group type ... P4/mmm
Energy of formation ... -0.498 eV/atom